## one
The following is a PBE calculation of a geometry-optimized LiCdTc structure, from the Alexandria database.

Calculated values
The value obtained for the calculated density is 7.33 Mg/m³. Its crystal system is trigonal. The density of states at the Fermi level is 2.209 states/eV/cell. The value obtained for the size of the total moment is 0.00 Bohr magnetons per cell.

Cell: 2.784 2.784 7.335 Å, 90.00 90.00 120.00°
Element x y z (fractional)
Cd 0.000 0.000 0.002
Li 0.667 0.333 0.345
Tc 0.333 0.667 0.654


## two
The following is a PBE calculation of a geometry-optimized LiCdTc structure, from the Alexandria database.

Calculated values
The value obtained for the calculated density is 6.83 Mg/m³. Its crystal system is cubic. The density of states at the Fermi level is 1.483 states/eV/cell. The value obtained for the size of the total moment is 2.17 Bohr magnetons per cell.

Cell: 4.213 4.213 4.213 Å, 60.00 60.00 60.00°
Element x y z (fractional)
Cd 0.500 0.500 0.500
Li 0.750 0.750 0.750
Tc 0.000 0.000 0.000


Result of the stability comparison: two is the least stable of them.


## one
The following is a PBE calculation of a geometry-optimized LiCd2Te2 structure, from the Alexandria database.

Calculated values
The value obtained for the calculated density is 5.40 Mg/m³. Its crystal system is tetragonal. The density of states at the Fermi level is 3.112 states/eV/cell. The value obtained for the size of the total moment is 0.00 Bohr magnetons per cell.

Cell: 5.702 5.702 6.121 Å, 62.24 62.24 90.00°
Element x y z (fractional)
Te 0.750 0.250 0.500
Te 0.250 0.750 0.500
Li 0.000 0.000 0.000
Cd 0.344 0.344 0.312
Cd 0.656 0.656 0.688


## two
The following is a PBE calculation of a geometry-optimized LiCd2Te2 structure, from the Alexandria database.

Calculated values
The value obtained for the calculated density is 6.01 Mg/m³. Its crystal system is tetragonal. The density of states at the Fermi level is 2.366 states/eV/cell. The value obtained for the size of the total moment is 0.00 Bohr magnetons per cell.

Cell: 8.156 8.156 4.048 Å, 90.00 90.00 90.00°
Element x y z (fractional)
Te 0.182 0.682 0.500
Te 0.682 0.818 0.500
Te 0.818 0.318 0.500
Te 0.318 0.182 0.500
Li 0.000 0.000 0.000
Li 0.500 0.500 0.000
Cd 0.373 0.873 0.000
Cd 0.873 0.627 0.000
Cd 0.627 0.127 0.000
Cd 0.127 0.373 0.000


## three
The following is a PBE calculation of a geometry-optimized LiCd2Te2 structure, from the Alexandria database.

Calculated values
The value obtained for the calculated density is 5.84 Mg/m³. Its crystal system is tetragonal. The density of states at the Fermi level is 2.027 states/eV/cell. The value obtained for the size of the total moment is 0.00 Bohr magnetons per cell.

Cell: 8.104 8.104 4.218 Å, 90.00 90.00 90.00°
Element x y z (fractional)
Te 0.309 0.809 0.000
Te 0.809 0.691 0.000
Te 0.691 0.191 0.000
Te 0.191 0.309 0.000
Li 0.000 0.000 0.000
Li 0.500 0.500 0.000
Cd 0.127 0.627 0.500
Cd 0.627 0.873 0.500
Cd 0.873 0.373 0.500
Cd 0.373 0.127 0.500


## four
The following is a PBE calculation of a geometry-optimized LiCd2Te2 structure, from the Alexandria database.

Calculated values
The value obtained for the calculated density is 5.61 Mg/m³. Its crystal system is tetragonal. The density of states at the Fermi level is 2.527 states/eV/cell. The value obtained for the size of the total moment is 0.00 Bohr magnetons per cell.

Cell: 4.333 4.333 8.260 Å, 74.79 74.79 90.00°
Element x y z (fractional)
Te 0.395 0.395 0.210
Te 0.605 0.605 0.790
Li 0.000 0.000 0.000
Cd 0.750 0.250 0.500
Cd 0.250 0.750 0.500


Result of the stability comparison: one is the least stable of them.


## one
The following is a PBE calculation of a geometry-optimized Li2CdTe2 structure, from the Alexandria database.

Calculated values
The value obtained for the calculated density is 5.14 Mg/m³. Its crystal system is tetragonal. The density of states at the Fermi level is 3.043 states/eV/cell. The value obtained for the size of the total moment is 0.00 Bohr magnetons per cell.

Cell: 8.775 8.775 3.202 Å, 90.00 90.00 90.00°
Element x y z (fractional)
Te 0.334 0.834 0.000
Te 0.834 0.666 0.000
Te 0.666 0.166 0.000
Te 0.166 0.334 0.000
Li 0.133 0.633 0.500
Li 0.633 0.867 0.500
Li 0.867 0.367 0.500
Li 0.367 0.133 0.500
Cd 0.000 0.000 0.000
Cd 0.500 0.500 0.000


## two
The following is a PBE calculation of a geometry-optimized Li2CdTe2 structure, from the Alexandria database.

Calculated values
The value obtained for the calculated density is 4.59 Mg/m³. Its crystal system is tetragonal. The density of states at the Fermi level is 0.294 states/eV/cell. The value obtained for the size of the total moment is 0.00 Bohr magnetons per cell.

Cell: 5.328 5.328 6.153 Å, 64.34 64.34 90.00°
Element x y z (fractional)
Te 0.354 0.354 0.293
Te 0.646 0.646 0.707
Li 0.750 0.250 0.500
Li 0.250 0.750 0.500
Cd 0.000 0.000 0.000


Result of the stability comparison: two is the least stable of them.


## one
The following is a PBE calculation of a geometry-optimized LiTh2Cd structure, from the Alexandria database.

Calculated values
The value obtained for the calculated density is 8.17 Mg/m³. Its crystal system is trigonal. The density of states at the Fermi level is 2.776 states/eV/cell. The value obtained for the size of the total moment is 0.00 Bohr magnetons per cell.

Cell: 3.329 3.329 12.509 Å, 82.35 82.35 60.00°
Element x y z (fractional)
Li 0.000 0.000 0.000
Th 0.090 0.090 0.729
Th 0.910 0.910 0.271
Cd 0.500 0.500 0.500


## two
The following is a PBE calculation of a geometry-optimized LiTh2Cd structure, from the Alexandria database.

Calculated values
The value obtained for the calculated density is 8.96 Mg/m³. Its crystal system is tetragonal. The density of states at the Fermi level is 4.072 states/eV/cell. The value obtained for the size of the total moment is 0.00 Bohr magnetons per cell.

Cell: 3.940 3.940 6.960 Å, 90.00 90.00 90.00°
Element x y z (fractional)
Li 0.500 0.500 0.000
Th 0.000 0.000 0.757
Th 0.000 0.000 0.243
Cd 0.500 0.500 0.500


Result of the stability comparison: one is the least stable of them.


## one
The following is a PBE calculation of a geometry-optimized LiTh2Cd structure, from the Alexandria database.

Calculated values
The value obtained for the calculated density is 9.02 Mg/m³. Its crystal system is tetragonal. The density of states at the Fermi level is 5.099 states/eV/cell. The value obtained for the size of the total moment is 0.00 Bohr magnetons per cell.

Cell: 4.687 4.786 4.786 Å, 90.00 90.00 90.00°
Element x y z (fractional)
Li 0.500 0.000 0.000
Th 0.000 0.000 0.500
Th 0.000 0.500 0.000
Cd 0.500 0.500 0.500


## two
The following is a PBE calculation of a geometry-optimized LiTh2Cd structure, from the Alexandria database.

Calculated values
The value obtained for the calculated density is 8.91 Mg/m³. Its crystal system is cubic. The density of states at the Fermi level is 3.394 states/eV/cell. The value obtained for the size of the total moment is 0.00 Bohr magnetons per cell.

Cell: 5.357 5.357 5.357 Å, 60.00 60.00 60.00°
Element x y z (fractional)
Li 0.000 0.000 0.000
Th 0.250 0.250 0.250
Th 0.750 0.750 0.750
Cd 0.500 0.500 0.500


Result of the stability comparison: two is the least stable of them.


## one
The following is a PBE calculation of a geometry-optimized LiThCd structure, from the Alexandria database.

Calculated values
The value obtained for the calculated density is 8.11 Mg/m³. Its crystal system is monoclinic. The density of states at the Fermi level is 4.770 states/eV/cell. The value obtained for the size of the total moment is 0.00 Bohr magnetons per cell.

Cell: 3.399 3.449 12.768 Å, 74.06 90.00 90.00°
Element x y z (fractional)
Li 0.750 0.685 0.067
Li 0.250 0.315 0.933
Th 0.750 0.362 0.390
Th 0.250 0.638 0.610
Cd 0.750 0.939 0.810
Cd 0.250 0.061 0.190


## two
The following is a PBE calculation of a geometry-optimized LiThCd structure, from the Alexandria database.

Calculated values
The value obtained for the calculated density is 8.17 Mg/m³. Its crystal system is tetragonal. The density of states at the Fermi level is 2.125 states/eV/cell. The value obtained for the size of the total moment is 0.00 Bohr magnetons per cell.

Cell: 3.330 3.330 6.859 Å, 104.05 104.05 90.00°
Element x y z (fractional)
Cd 0.691 0.691 0.382
Th 0.000 0.000 0.999
Li 0.309 0.309 0.619


Result of the stability comparison: two is the least stable of them.